Compound: CaHoSi4
Source: the Alexandria database
Functional: GGA-PBE
Structure: relaxed

E_form (uncorrected) = -0.3439 eV per atom
DOS(E_F) = 10.54 states/eV/cell
Density = 4185 kg/m3

Unit cell a=4.2034 b=7.3221 c=16.3667 alpha=90.00 beta=90.00 gamma=90.00
Fractional coordinates of all 24 atoms:
Si 0.5000 0.0961 0.9404
Si 0.5000 0.1470 0.5400
Si 0.5000 0.4039 0.4404
Si 0.5000 0.5427 0.8151
Si 0.5000 0.5961 0.5596
Si 0.5000 0.9573 0.3151
Si 0.5000 0.9039 0.0596
Si 0.5000 0.2195 0.8033
Si 0.5000 0.6470 0.9600
Si 0.5000 0.4573 0.1849
Si 0.5000 0.8530 0.4600
Si 0.5000 0.2805 0.3033
Si 0.5000 0.7195 0.6967
Si 0.5000 0.3530 0.0400
Si 0.5000 0.0427 0.6849
Si 0.5000 0.7805 0.1967
Ho 0.0000 0.6313 0.0875
Ho 0.0000 0.8687 0.5875
Ho 0.0000 0.3687 0.9125
Ho 0.0000 0.1313 0.4125
Ca 0.0000 0.6223 0.3323
Ca 0.0000 0.8777 0.8323
Ca 0.0000 0.3777 0.6677
Ca 0.0000 0.1223 0.1677